Entry 1:
Entry from the Alexandria database: an optimized crystal structure of Ac2AsRh6Pb (PBE).

Structure (CIF):
```
data_Ac2AsRh6Pb
_chemical_formula_sum 'Ac2 As1 Rh6 Pb1'
_space_group_name_H-M_alt 'P -1'
_space_group_IT_number 2
_cell_length_a 5.6613
_cell_length_b 6.5640
_cell_length_c 6.9154
_cell_angle_alpha 79.77
_cell_angle_beta 66.36
_cell_angle_gamma 65.44
loop_
_space_group_symop_operation_xyz
'x,y,z'
'-x,-y,-z'
loop_
_atom_site_label
_atom_site_fract_x
_atom_site_fract_y
_atom_site_fract_z
_atom_site_occupancy
Ac1 0.2450 0.2109 0.2845 1
As1 0.0000 0.0000 0.0000 1
Rh1 0.2066 0.5810 0.9246 1
Rh2 0.2565 0.2208 0.7521 1
Rh3 0.2777 0.7502 0.2107 1
Pb1 0.5000 0.5000 0.5000 1
```

Properties
final energy: -6.534 eV/atom
total magnetic moment: 0.000 μB per formula unit


Entry 2:
Entry from the Alexandria database: an optimized crystal structure of Cd4InSe5 (PBE).

Structure (CIF):
```
data_Cd4InSe5
_chemical_formula_sum 'Cd12 In3 Se15'
_space_group_name_H-M_alt 'R 3 m'
_space_group_IT_number 160
_space_group_name_Hall 'R 3 -2"'
_cell_length_a 4.4422
_cell_length_b 4.4422
_cell_length_c 54.0843
_cell_angle_alpha 90.00
_cell_angle_beta 90.00
_cell_angle_gamma 120.00
loop_
_atom_site_label
_atom_site_fract_x
_atom_site_fract_y
_atom_site_fract_z
_atom_site_occupancy
Cd1 0.0000 0.0000 0.0000 1
Cd2 0.0000 0.0000 0.1961 1
Cd3 0.0000 0.0000 0.3986 1
Cd4 0.0000 0.0000 0.7973 1
In1 0.0000 0.0000 0.5975 1
Se1 0.0000 0.0000 0.1466 1
Se2 0.0000 0.0000 0.3486 1
Se3 0.0000 0.0000 0.5464 1
Se4 0.0000 0.0000 0.7476 1
Se5 0.0000 0.0000 0.9491 1
```

Properties
ΔE_f (raw): -5.50 eV per formula unit
final energy: -2.932 eV/atom
total magnetic moment: 0.000 μB per formula unit